Ho6TlAu2 | PBE | optimized geometry

The structure in CIF format:
```
data_Ho6TlAu2
_chemical_formula_sum 'Ho12 Tl2 Au4'
_cell_length_a 8.658
_cell_length_b 8.658
_cell_length_c 8.658
_cell_angle_alpha 113.34
_cell_angle_beta 111.01
_cell_angle_gamma 104.20
_space_group_name_H-M_alt 'P 1'
_space_group_IT_number 1
_space_group_name_Hall 'P 1'
loop_
_atom_site_label
_atom_site_type_symbol
_atom_site_fract_x
_atom_site_fract_y
_atom_site_fract_z
Ho1 Ho 0.037 0.237 0.800
Ho2 Ho 0.185 0.288 0.473
Ho3 Ho 0.185 0.712 0.897
Ho4 Ho 0.327 0.030 0.703
Ho5 Ho 0.327 0.625 0.297
Ho6 Ho 0.438 0.237 0.200
Ho7 Ho 0.562 0.763 0.800
Ho8 Ho 0.673 0.375 0.703
Ho9 Ho 0.673 0.970 0.297
Ho10 Ho 0.815 0.288 0.103
Ho11 Ho 0.815 0.712 0.527
Ho12 Ho 0.963 0.763 0.200
Tl1 Tl 0.000 0.000 0.000
Tl2 Tl 0.500 0.500 0.000
Au1 Au 0.133 0.633 0.500
Au2 Au 0.344 0.000 0.344
Au3 Au 0.656 0.000 0.656
Au4 Au 0.867 0.367 0.500
```

VASP energy in eV per cell: -81.31
Volume in Å³ per cell: 496.2
Calculated formation energy in eV/atom: -0.47
Total magnetic moment in μB per formula unit: 0.000

Te2OsRh | PBE | optimized geometry

The structure in CIF format:
```
data_Te2OsRh
_chemical_formula_sum 'Te2 Os1 Rh1'
_cell_length_a 4.735
_cell_length_b 4.735
_cell_length_c 3.338
_cell_angle_alpha 90.00
_cell_angle_beta 90.00
_cell_angle_gamma 90.00
_space_group_name_H-M_alt 'P 1'
_space_group_IT_number 1
_space_group_name_Hall 'P 1'
loop_
_atom_site_label
_atom_site_type_symbol
_atom_site_fract_x
_atom_site_fract_y
_atom_site_fract_z
Te1 Te 0.000 0.500 0.000
Te2 Te 0.500 0.000 0.000
Os1 Os 0.000 0.000 0.500
Rh1 Rh 0.500 0.500 0.500
```

VASP energy in eV per cell: -22.80
Formation energy without anion corrections in eV/atom: 0.5166
Volume in Å³ per cell: 74.8
Distance to the lowest polymorph of the same formula in meV per atom: 540
Total magnetic moment in μB per formula unit: 0.466

Cs3Na5In6 | PBE | optimized geometry

The structure in CIF format:
```
data_Cs3Na5In6
_chemical_formula_sum 'Cs3 Na5 In6'
_cell_length_a 10.838
_cell_length_b 10.838
_cell_length_c 10.838
_cell_angle_alpha 151.94
_cell_angle_beta 102.55
_cell_angle_gamma 84.27
_space_group_name_H-M_alt 'P 1'
_space_group_IT_number 1
_space_group_name_Hall 'P 1'
loop_
_atom_site_label
_atom_site_type_symbol
_atom_site_fract_x
_atom_site_fract_y
_atom_site_fract_z
Cs1 Cs 0.000 0.000 0.000
Cs2 Cs 0.314 0.314 0.000
Cs3 Cs 0.686 0.686 0.000
Na1 Na 0.003 0.692 0.311
Na2 Na 0.381 0.692 0.689
Na3 Na 0.500 0.000 0.500
Na4 Na 0.619 0.308 0.311
Na5 Na 0.997 0.308 0.689
In1 In 0.189 0.900 0.288
In2 In 0.271 0.500 0.771
In3 In 0.388 0.100 0.288
In4 In 0.612 0.900 0.712
In5 In 0.729 0.500 0.229
In6 In 0.811 0.100 0.712
```

VASP energy in eV per cell: -26.56
Volume in Å³ per cell: 572.7
Calculated formation energy in eV/atom: -0.07
Total magnetic moment in μB per formula unit: 0.000

Cd5Ag2Pd2 | PBE | optimized geometry

The structure in CIF format:
```
data_Cd5Ag2Pd2
_chemical_formula_sum 'Cd5 Ag2 Pd2'
_cell_length_a 4.141
_cell_length_b 5.688
_cell_length_c 9.424
_cell_angle_alpha 94.11
_cell_angle_beta 102.60
_cell_angle_gamma 111.26
_space_group_name_H-M_alt 'P 1'
_space_group_IT_number 1
_space_group_name_Hall 'P 1'
loop_
_atom_site_label
_atom_site_type_symbol
_atom_site_fract_x
_atom_site_fract_y
_atom_site_fract_z
Cd1 Cd 0.000 0.000 0.000
Cd2 Cd 0.352 0.962 0.744
Cd3 Cd 0.358 0.477 0.241
Cd4 Cd 0.642 0.523 0.759
Cd5 Cd 0.648 0.038 0.256
Ag1 Ag 0.338 0.197 0.482
Ag2 Ag 0.662 0.803 0.518
Pd1 Pd 0.319 0.663 0.974
Pd2 Pd 0.681 0.337 0.026
```

VASP energy in eV per cell: -21.28
Volume in Å³ per cell: 199.1
Distance to the lowest polymorph of the same formula in meV per atom: 62
Calculated formation energy in eV/atom: -0.07
Total magnetic moment in μB per formula unit: 0.000

CuMoRh2 | PBE | optimized geometry

The structure in CIF format:
```
data_CuMoRh2
_chemical_formula_sum 'Cu1 Mo1 Rh2'
_cell_length_a 2.736
_cell_length_b 3.910
_cell_length_c 5.289
_cell_angle_alpha 90.00
_cell_angle_beta 90.00
_cell_angle_gamma 90.00
_space_group_name_H-M_alt 'P 1'
_space_group_IT_number 1
_space_group_name_Hall 'P 1'
loop_
_atom_site_label
_atom_site_type_symbol
_atom_site_fract_x
_atom_site_fract_y
_atom_site_fract_z
Cu1 Cu 0.000 0.000 0.000
Mo1 Mo 0.500 0.500 0.254
Rh1 Rh 0.000 0.000 0.497
Rh2 Rh 0.500 0.500 0.788
```

VASP energy in eV per cell: -29.80
Volume in Å³ per cell: 56.6
Distance to the lowest polymorph of the same formula in meV per atom: 91
Calculated formation energy in eV/atom: -0.04
Total magnetic moment in μB per formula unit: 0.000

Pr2NdIn | PBE | optimized geometry

The structure in CIF format:
```
data_Pr2NdIn
_chemical_formula_sum 'Pr6 Nd3 In3'
_cell_length_a 3.765
_cell_length_b 3.765
_cell_length_c 33.366
_cell_angle_alpha 90.00
_cell_angle_beta 90.00
_cell_angle_gamma 120.00
_space_group_name_H-M_alt 'P 1'
_space_group_IT_number 1
_space_group_name_Hall 'P 1'
loop_
_atom_site_label
_atom_site_type_symbol
_atom_site_fract_x
_atom_site_fract_y
_atom_site_fract_z
Pr1 Pr 0.000 0.000 0.000
Pr2 Pr 0.000 0.000 0.181
Pr3 Pr 0.333 0.667 0.667
Pr4 Pr 0.333 0.667 0.848
Pr5 Pr 0.667 0.333 0.333
Pr6 Pr 0.667 0.333 0.514
Nd1 Nd 0.000 0.000 0.757
Nd2 Nd 0.333 0.667 0.424
Nd3 Nd 0.667 0.333 0.091
In1 In 0.000 0.000 0.591
In2 In 0.333 0.667 0.257
In3 In 0.667 0.333 0.924
```

VASP energy in eV per cell: -52.62
Volume in Å³ per cell: 409.7
Distance to the lowest polymorph of the same formula in meV per atom: 157
Calculated formation energy in eV/atom: -0.12
Total magnetic moment in μB per formula unit: 0.000